No. 1
Material: YZn3Hg
Method: DFT, PBE
State: relaxed

Values from the calculation:
Excess energy over the best structure of this formula in the dataset: 0 kJ/mol of formula units
Symmetry: Pnma, No. 62
Calculated formation energy: -0.234 eV per atom
Raw total energy: -47.0 eV for the cell shown

a b c (Å): 4.2779 8.6253 10.7902
angles (deg): 90.00 90.00 90.00
Closest atoms and distances in Å follow each position.
Fractional coordinates of all 20 atoms:
Y: 0.7500 0.8135 0.0033  8 Zn 3.06-3.33, 2 Hg 3.18
Y: 0.2500 0.6865 0.5033  8 Zn 3.06-3.33, 2 Hg 3.18
Y: 0.7500 0.3135 0.4967  8 Zn 3.06-3.33, 2 Hg 3.18
Y: 0.2500 0.1865 0.9967  8 Zn 3.06-3.33, 2 Hg 3.18
Zn: 0.2500 0.6369 0.1536  4 Zn 2.48-2.71
Zn: 0.7500 0.3631 0.8464  4 Zn 2.48-2.71
Zn: 0.2500 0.1369 0.3464  4 Zn 2.48-2.71
Zn: 0.7500 0.8631 0.6536  4 Zn 2.48-2.71
Zn: 0.2500 0.3814 0.6921  4 Zn 2.71-2.74, 2 Hg 2.76-2.79
Zn: 0.7500 0.1186 0.1921  4 Zn 2.71-2.74, 2 Hg 2.76-2.79
Zn: 0.2500 0.8814 0.8079  4 Zn 2.71-2.74, 2 Hg 2.76-2.79
Zn: 0.7500 0.5791 0.6896  4 Zn 2.48-2.74
Zn: 0.2500 0.4209 0.3104  4 Zn 2.48-2.74
Zn: 0.7500 0.0791 0.8104  4 Zn 2.48-2.74
Zn: 0.7500 0.6186 0.3079  4 Zn 2.71-2.74, 2 Hg 2.76-2.79
Zn: 0.2500 0.9209 0.1896  4 Zn 2.48-2.74
Hg: 0.2500 0.0769 0.6058  7 Zn 2.76-3.07
Hg: 0.2500 0.5769 0.8942  7 Zn 2.76-3.07
Hg: 0.7500 0.4231 0.1058  7 Zn 2.76-3.07
Hg: 0.7500 0.9231 0.3942  7 Zn 2.76-3.07


No. 2
Material: Y5ZnHg6
Method: DFT, PBE
State: relaxed

Values from the calculation:
Symmetry: C2/m, No. 12
Calculated formation energy: -0.429 eV per atom
Raw total energy: -40.5 eV for the cell shown

a b c (Å): 5.1300 9.0466 9.0466
angles (deg): 120.08 106.50 106.50
Closest atoms and distances in Å follow each position.
Fractional coordinates of all 12 atoms:
Y: 0.5000 0.1566 0.8434  8 Hg 3.08-3.39
Y: 0.0000 0.3285 0.6715  8 Hg 3.17-3.26
Y: 0.5000 0.5000 0.5000  8 Hg 3.16-3.18
Y: 0.0000 0.6715 0.3285  8 Hg 3.17-3.26
Y: 0.5000 0.8434 0.1566  8 Hg 3.08-3.39
Zn: 0.0000 0.0000 0.0000  8 Hg 3.15-3.17
Hg: 0.2466 0.0834 0.4103  1 Zn 3.15, 7 Y 3.15-3.39
Hg: 0.7534 0.5897 0.9166  1 Zn 3.15, 7 Y 3.15-3.39
Hg: 0.7517 0.2514 0.2514  6 Y 3.08-3.26, 2 Zn 3.17
Hg: 0.2483 0.7486 0.7486  6 Y 3.08-3.26, 2 Zn 3.17
Hg: 0.2466 0.4103 0.0834  1 Zn 3.15, 7 Y 3.15-3.39
Hg: 0.7534 0.9166 0.5897  1 Zn 3.15, 7 Y 3.15-3.39


No. 3
Material: Y8Zn2Hg
Method: DFT, PBE
State: relaxed

Values from the calculation:
Symmetry: Immm, No. 71
Calculated formation energy: -0.104 eV per atom
Raw total energy: -55.7 eV for the cell shown

a b c (Å): 4.9761 8.3511 8.8106
angles (deg): 118.29 106.40 90.00
Closest atoms and distances in Å follow each position.
Fractional coordinates of all 11 atoms:
Y: 0.6649 0.8824 0.3298  3 Zn 3.11-3.13, 1 Hg 3.38, 5 Y 3.46-3.49
Y: 0.3351 0.5525 0.6701  3 Zn 3.11-3.13, 1 Hg 3.38, 5 Y 3.46-3.49
Y: 0.1351 0.1351 0.2701  2 Hg 3.18, 8 Y 3.31-3.46, 2 Zn 3.52
Y: 0.0000 0.3168 0.0000  3 Y 3.06-3.31, 2 Zn 3.25
Y: 0.8649 0.8649 0.7299  2 Hg 3.18, 8 Y 3.31-3.46, 2 Zn 3.52
Y: 0.6649 0.4475 0.3299  3 Zn 3.11-3.13, 1 Hg 3.38, 5 Y 3.46-3.49
Y: 0.3351 0.1176 0.6702  3 Zn 3.11-3.13, 1 Hg 3.38, 5 Y 3.46-3.49
Y: 0.0000 0.6832 0.0000  3 Y 3.06-3.31, 2 Zn 3.25
Zn: 0.1953 0.6953 0.3906  8 Y 3.11-3.25
Zn: 0.8047 0.3047 0.6094  8 Y 3.11-3.25
Hg: 0.5000 0.0000 0.0000  8 Y 3.18-3.38


No. 4
Material: YZnHg2
Method: DFT, PBE
State: relaxed

Values from the calculation:
Symmetry: R3m, No. 160
Calculated formation energy: -0.162 eV per atom
Raw total energy: -9.0 eV for the cell shown

a b c (Å): 3.9232 3.9232 7.8495
angles (deg): 75.53 75.53 60.00
Closest atoms and distances in Å follow each position.
Fractional coordinates of all 4 atoms:
Y: 0.6663 0.6663 0.0012  6 Hg 3.09-3.11
Zn: 0.5002 0.5002 0.4995  6 Hg 2.80
Hg: 0.0938 0.0938 0.7185  3 Zn 2.80, 3 Y 3.11
Hg: 0.2397 0.2397 0.2808  3 Zn 2.80, 3 Y 3.09


No. 5
Material: Y2Zn2Hg
Method: DFT, PBE
State: relaxed

Values from the calculation:
Excess energy over the best structure of this formula in the dataset: 14 kJ/mol of formula units
Symmetry: C2/m, No. 12
Calculated formation energy: -0.363 eV per atom
Raw total energy: -35.2 eV for the cell shown

a b c (Å): 4.5248 5.9050 9.6641
angles (deg): 79.95 76.46 67.47
Closest atoms and distances in Å follow each position.
Fractional coordinates of all 10 atoms:
Y: 0.3136 0.2730 0.0999  6 Zn 3.06-3.30, 2 Hg 3.25
Y: 0.5167 0.2989 0.6678  6 Zn 3.11-3.19, 4 Hg 3.20-3.33
Y: 0.6864 0.7270 0.9001  6 Zn 3.06-3.30, 2 Hg 3.25
Y: 0.4833 0.7011 0.3322  6 Zn 3.11-3.19, 4 Hg 3.20-3.33
Zn: 0.9709 0.1688 0.8893  1 Zn 2.65, 1 Hg 2.76
Zn: 0.1279 0.3114 0.4329  1 Zn 2.51, 2 Hg 2.69
Zn: 0.0291 0.8312 0.1107  1 Zn 2.65, 1 Hg 2.76
Zn: 0.8721 0.6886 0.5671  1 Zn 2.51, 2 Hg 2.69
Hg: 0.7734 0.1134 0.3398  4 Zn 2.69-3.00
Hg: 0.2266 0.8866 0.6602  4 Zn 2.69-3.00


No. 6
Material: Y2ZnHg
Method: DFT, PBE
State: relaxed

Values from the calculation:
Excess energy over the best structure of this formula in the dataset: 51 kJ/mol of formula units
Symmetry: Imm2, No. 44
Calculated formation energy: -0.307 eV per atom
Raw total energy: -15.7 eV for the cell shown

a b c (Å): 6.2132 6.2132 6.2132
angles (deg): 145.94 132.54 59.69
Closest atoms and distances in Å follow each position.
Fractional coordinates of all 4 atoms:
Hg: 0.2799 0.7799 0.5000  2 Zn 2.82, 4 Y 3.13
Y: 0.0081 0.0081 0.0000  4 Zn 3.11, 2 Hg 3.45, 2 Y 3.48
Y: 0.7321 0.2321 0.5000  4 Hg 3.13, 2 Zn 3.27, 4 Y 3.48-3.49
Zn: 0.4799 0.4799 0.0000  2 Hg 2.82, 4 Y 3.11